# 1
FeAgSe after structural relaxation, computed with PBE.

Values from the calculation:
As for the energy relative to the elements, uncorrected: 0.156 eV/atom. The value obtained for the density of states at the Fermi level is 2.91 states/eV per cell. As for the space group: P3m1, No. 156.

a = 3.0681 Å, b = 3.0681 Å, c = 6.4109 Å
α = 90.00°, β = 90.00°, γ = 120.00°
Closest atoms and distances in Å follow each position.
Fractional positions:
Ag  0.0000  0.0000  0.0346  3 Fe 2.77, 6 Ag 3.07
Fe  0.3333  0.6667  0.3662  3 Se 2.32
Se  0.6667  0.3333  0.5992  3 Fe 2.32



# 2
ThScH after structural relaxation, computed with PBE.

Values from the calculation:
The value obtained for the density of states at the Fermi level is 3.49 states/eV per cell. As for the space group: P3m1, No. 156. For the raw total energy, the calculation gives -5.867 eV per atom.

a = 3.4090 Å, b = 3.4090 Å, c = 5.7051 Å
α = 90.00°, β = 90.00°, γ = 120.00°
Closest atoms and distances in Å follow each position.
Fractional positions:
Sc  0.3333  0.6667  0.5680  3 H 2.28
Th  0.0000  0.0000  0.0674  3 H 2.60
H  0.6667  0.3333  0.3646  3 Sc 2.28



# 3
CdAsSe3 after structural relaxation, computed with PBE.

Values from the calculation:
As for the energy relative to the elements, uncorrected: -0.251 eV/atom. As for the space group: P-1, No. 2.

a = 6.2389 Å, b = 7.1236 Å, c = 8.4577 Å
α = 76.94°, β = 62.27°, γ = 58.71°
Closest atoms and distances in Å follow each position.
Fractional positions:
As  0.7954  0.7709  0.6314  3 Se 2.39-2.64
Cd  0.4961  0.6199  0.2808  4 Se 2.68-2.83
Se  0.8584  0.4298  0.7775  1 As 2.39
Se  0.8271  0.2151  0.3630  1 As 2.43, 1 Cd 2.70
Cd  0.5039  0.3801  0.7192  4 Se 2.68-2.83
Se  0.3934  0.0523  0.8991  1 Se 2.40, 1 As 2.64
Se  0.1416  0.5702  0.2225  1 As 2.39
Se  0.6066  0.9477  0.1009  1 Se 2.40, 1 As 2.64
Se  0.1729  0.7849  0.6370  1 As 2.43, 1 Cd 2.70
As  0.2046  0.2291  0.3686  3 Se 2.39-2.64



# 4
CaHgIr2 after structural relaxation, computed with PBE.

Values from the calculation:
As for the formation energy: 127.5 meV per atom. The value obtained for the density of states at the Fermi level is 4.52 states/eV per cell. As for the space group: P4/mmm, No. 123.

a = 4.1984 Å, b = 4.1495 Å, c = 4.1495 Å
α = 90.00°, β = 90.00°, γ = 90.00°
Closest atoms and distances in Å follow each position.
Fractional positions:
Ir  0.0000  0.5000  0.5000  4 Ir 2.93, 4 Hg 2.95, 4 Ca 2.95
Ca  0.5000  0.5000  0.0000  4 Hg 2.93, 8 Ir 2.95
Ir  0.0000  0.0000  0.0000  4 Ir 2.93, 4 Hg 2.95, 4 Ca 2.95
Hg  0.5000  0.0000  0.5000  4 Ca 2.93, 8 Ir 2.95



# 5
NaMg6Cd12 after structural relaxation, computed with PBE.

Values from the calculation:
As for the formation energy: 13.5 meV per atom. The value obtained for the density of states at the Fermi level is 7.11 states/eV per cell. As for the space group: R-3m, No. 166.

a = 8.1709 Å, b = 8.1709 Å, c = 8.1709 Å
α = 105.16°, β = 105.16°, γ = 105.16°
Closest atoms and distances in Å follow each position.
Fractional positions:
Cd  0.6433  0.8841  0.6433  4 Cd 3.04-3.13, 4 Mg 3.05-3.18, 1 Na 3.25
Cd  0.8885  0.5000  0.1115  3 Cd 2.89-3.04, 4 Mg 2.93-3.10
Na  0.0000  0.0000  0.0000  6 Cd 3.25
Mg  0.6970  0.2966  0.6970  8 Cd 2.93-3.18, 2 Mg 3.25
Cd  0.8885  0.1115  0.5000  3 Cd 2.89-3.04, 4 Mg 2.93-3.10
Cd  0.1159  0.3567  0.3567  4 Cd 3.04-3.13, 4 Mg 3.05-3.18, 1 Na 3.25
Cd  0.3567  0.3567  0.1159  4 Cd 3.04-3.13, 4 Mg 3.05-3.18, 1 Na 3.25
Cd  0.8841  0.6433  0.6433  4 Cd 3.04-3.13, 4 Mg 3.05-3.18, 1 Na 3.25
Cd  0.1115  0.5000  0.8885  3 Cd 2.89-3.04, 4 Mg 2.93-3.10
Cd  0.3567  0.1159  0.3567  4 Cd 3.04-3.13, 4 Mg 3.05-3.18, 1 Na 3.25
Cd  0.5000  0.1115  0.8885  3 Cd 2.89-3.04, 4 Mg 2.93-3.10
Mg  0.2966  0.6970  0.6970  8 Cd 2.93-3.18, 2 Mg 3.25
Mg  0.6970  0.6970  0.2966  8 Cd 2.93-3.18, 2 Mg 3.25
Mg  0.3030  0.7034  0.3030  8 Cd 2.93-3.18, 2 Mg 3.25
Cd  0.1115  0.8885  0.5000  3 Cd 2.89-3.04, 4 Mg 2.93-3.10
Cd  0.5000  0.8885  0.1115  3 Cd 2.89-3.04, 4 Mg 2.93-3.10
Mg  0.7034  0.3030  0.3030  8 Cd 2.93-3.18, 2 Mg 3.25
Mg  0.3030  0.3030  0.7034  8 Cd 2.93-3.18, 2 Mg 3.25
Cd  0.6433  0.6433  0.8841  4 Cd 3.04-3.13, 4 Mg 3.05-3.18, 1 Na 3.25



# 6
Cs2Bi after structural relaxation, computed with PBE.

Values from the calculation:
As for the formation energy: -255.1 meV per atom. The value obtained for the density of states at the Fermi level is 3.41 states/eV per cell. As for the space group: C2/m, No. 12.

a = 5.2195 Å, b = 8.7041 Å, c = 11.0967 Å
α = 70.35°, β = 76.40°, γ = 72.55°
Closest atoms and distances in Å follow each position.
Fractional positions:
Cs  0.1963  0.2871  0.3203  3 Bi 3.95-4.00
Cs  0.5237  0.7746  0.1781  3 Bi 3.95
Cs  0.8037  0.7129  0.6797  3 Bi 3.95-4.00
Bi  0.2107  0.6124  0.9662  2 Bi 3.17
Cs  0.4763  0.2254  0.8219  3 Bi 3.95
Bi  0.7893  0.3876  0.0338  2 Bi 3.17



# 7
SrVGa2Ge after structural relaxation, computed with PBE.

Values from the calculation:
As for the formation energy: 595.6 meV per atom. The value obtained for the density of states at the Fermi level is 2.13 states/eV per cell. As for the space group: P4/mmm, No. 123.

a = 4.8926 Å, b = 5.2929 Å, c = 4.8926 Å
α = 90.00°, β = 90.00°, γ = 90.00°
Closest atoms and distances in Å follow each position.
Fractional positions:
V  0.0000  0.0000  0.0000  4 Ga 2.45, 2 Sr 2.65
Ge  0.5000  0.5000  0.5000  4 Sr 3.46, 8 Ga 3.60
Ga  0.0000  0.0000  0.5000  2 V 2.45
Ga  0.5000  0.0000  0.0000  2 V 2.45
Sr  0.0000  0.5000  0.0000  2 V 2.65



# 8
KBaIn2 after structural relaxation, computed with PBE.

Values from the calculation:
As for the formation energy: -133.6 meV per atom. The value obtained for the density of states at the Fermi level is 4.48 states/eV per cell. As for the space group: C2/m, No. 12.

a = 6.8386 Å, b = 6.8386 Å, c = 8.3575 Å
α = 52.62°, β = 52.62°, γ = 42.78°
Closest atoms and distances in Å follow each position.
Fractional positions:
In  0.9838  0.9838  0.1780  2 In 2.91
In  0.5162  0.5162  0.3220  2 In 2.91
Ba  0.2500  0.2500  0.2500  6 In 3.62-3.81
K  0.7500  0.7500  0.7500  6 In 3.63-3.83



no.,theoretical density (g/cm3)
1,7.7
2,8.0
3,5.0
4,14.4
5,5.3
6,3.5
7,4.6
8,3.3